This record from the Alexandria database describes a relaxed structure of BeZn2. The functional is GGA-PBE.

```
data_BeZn2
_chemical_formula_sum 'Be4 Zn8'
_symmetry_space_group_name_H-M 'C 1 m 1'
_symmetry_Int_Tables_number 8
_symmetry_space_group_name_Hall 'C -2y'
_cell_length_a 8.8039
_cell_length_b 2.5872
_cell_length_c 6.9007
_cell_angle_alpha 90.00
_cell_angle_beta 96.65
_cell_angle_gamma 90.00
loop_
_atom_site_label
_atom_site_fract_x
_atom_site_fract_y
_atom_site_fract_z
Be1 0.0000 0.0000 0.0000
Be2 0.1461 0.5000 0.2165
Zn1 0.0366 0.5000 0.7100
Zn2 0.2408 0.0000 0.5227
Zn3 0.2722 0.0000 0.9677
Zn4 0.4367 0.5000 0.3383
```

Calculated volume in Å³ per atom: 13.01
Raw total energy in eV per formula unit: -5.85
Crystal system: monoclinic

This record from the Alexandria database describes a relaxed structure of MnInGaW2. The functional is GGA-PBE.

```
data_MnInGaW2
_chemical_formula_sum 'Mn1 In1 Ga1 W2'
_symmetry_space_group_name_H-M 'P 4/m m m'
_symmetry_Int_Tables_number 123
_symmetry_space_group_name_Hall '-P 4 2'
_cell_length_a 4.9836
_cell_length_b 4.9836
_cell_length_c 4.7540
_cell_angle_alpha 90.00
_cell_angle_beta 90.00
_cell_angle_gamma 90.00
loop_
_atom_site_label
_atom_site_fract_x
_atom_site_fract_y
_atom_site_fract_z
Mn1 0.0000 0.0000 0.0000
In1 0.0000 0.0000 0.5000
Ga1 0.5000 0.5000 0.0000
W1 0.0000 0.5000 0.5000
```

Calculated volume in Å³ per atom: 23.61
ΔE to the lowest computed polymorph in eV per formula unit: 6.57
Raw total energy in eV per formula unit: -28.98
Crystal system: tetragonal

This record from the Alexandria database describes a relaxed structure of BPd3Pb. The functional is GGA-PBE.

```
data_BPd3Pb
_chemical_formula_sum 'B8 Pd24 Pb8'
_symmetry_space_group_name_H-M 'C 1 2/c 1'
_symmetry_Int_Tables_number 15
_symmetry_space_group_name_Hall '-C 2yc'
_cell_length_a 9.7002
_cell_length_b 10.6614
_cell_length_c 7.2322
_cell_angle_alpha 90.00
_cell_angle_beta 119.55
_cell_angle_gamma 90.00
loop_
_atom_site_label
_atom_site_fract_x
_atom_site_fract_y
_atom_site_fract_z
B1 0.0986 0.1677 0.2803
Pd1 0.1406 0.3356 0.4788
Pd2 0.1798 0.0255 0.1429
Pd3 0.1833 0.2966 0.1252
Pb1 0.0000 0.1371 0.7500
Pb2 0.0000 0.4450 0.7500
```

Calculated volume in Å³ per atom: 16.27
ΔE to the lowest computed polymorph in eV per formula unit: 0.21
Raw total energy in eV per formula unit: -26.47
Crystal system: monoclinic

ΔE_f for every record listed, in sequence, given in eV per atom: 0.142; 2.373; -0.101.